# 1
## TaHgBr (PBE)

Data for a geometry-optimized TaHgBr structure. Values from VASP.

Structure (Quantum ESPRESSO input):
```
&SYSTEM
  ibrav = 0, nat = 3, ntyp = 3
/
ATOMIC_SPECIES
Hg 200.59 Hg.upf
Br 79.90 Br.upf
Ta 180.95 Ta.upf
CELL_PARAMETERS angstrom
3.2157 0.0000 0.0000
-1.6079 2.7849 0.0000
0.0000 0.0000 7.8485
ATOMIC_POSITIONS crystal
Hg 0.6667 0.3333 0.3876
Br 0.0000 0.0000 0.9245
Ta 0.3333 0.6667 0.6879
```

Values from the calculation:
Spin magnetization (Bohr magnetons per cell): 0.00
Space group: P3m1 (156)

# 2
## Ta2HgBr (PBE)

Data for a geometry-optimized Ta2HgBr structure. Values from VASP.

Structure (Quantum ESPRESSO input):
```
&SYSTEM
  ibrav = 0, nat = 4, ntyp = 3
/
ATOMIC_SPECIES
Ta 180.95 Ta.upf
Br 79.90 Br.upf
Hg 200.59 Hg.upf
CELL_PARAMETERS angstrom
3.1763 -0.0148 0.0000
-1.7929 2.6220 0.0000
0.0000 0.0000 9.7902
ATOMIC_POSITIONS crystal
Ta 0.0000 0.0000 0.4907
Br 0.5000 0.5000 0.2500
Ta 0.0000 0.0000 0.0093
Hg 0.5000 0.5000 0.7500
```

Values from the calculation:
Spin magnetization (Bohr magnetons per cell): 0.00
Space group: Cmmm (65)

# 3
## TaHg2Br (PBE)

Data for a geometry-optimized TaHg2Br structure. Values from VASP.

Structure (Quantum ESPRESSO input):
```
&SYSTEM
  ibrav = 0, nat = 4, ntyp = 3
/
ATOMIC_SPECIES
Hg 200.59 Hg.upf
Ta 180.95 Ta.upf
Br 79.90 Br.upf
CELL_PARAMETERS angstrom
3.2428 0.0606 0.0000
-1.2401 2.9969 0.0000
0.0000 0.0000 9.1212
ATOMIC_POSITIONS crystal
Hg 0.0000 0.0000 0.0092
Ta 0.5000 0.5000 0.2500
Hg 0.0000 0.0000 0.4908
Br 0.5000 0.5000 0.7500
```

Values from the calculation:
Spin magnetization (Bohr magnetons per cell): 0.00
Space group: Cmmm (65)

no.,density (g/cm3),formation energy without anion corrections (eV/atom),excess energy over the best structure of this formula in the dataset (meV/atom)
1,10.90,0.0697,0
2,13.12,0.6163,430
3,12.31,0.3999,387